{"formula": "Th2TlSe", "functional": "PBE", "state": "relaxed", "formation_energy_uncorrected_kj_per_mol_fu": -279, "total_magnetization_mub_per_cell": 0.00, "dft_energy_ev_per_atom": -5.8960, "lattice": [[-0.994, 3.783, -2.187], [-3.507, 2.477, 1.286], [2.550, 5.611, 3.955]], "species": ["Tl", "Se", "Th", "Th"], "fractional_positions": [[0.500, 0.500, 0.500], [0.000, 0.000, 0.000], [0.256, 0.256, 0.232], [0.744, 0.744, 0.768]]}